[1]
DFT (PBE-GGA) results for LaMgCl2 after structural relaxation.

Uncorrected formation energy = -1.299 eV/atom

The structure in extended XYZ format:
```
12
Lattice="3.715 0.000 0.000 -1.857 3.217 0.000 0.000 0.000 31.156" Properties=species:S:1:pos:R:3 pbc="T T T"
La 0.000 0.000 0.000
La 0.000 2.145 20.770
La 1.857 1.072 10.385
Mg 0.000 0.000 15.578
Mg 0.000 2.145 5.193
Mg 1.857 1.072 25.963
Cl 0.000 0.000 8.419
Cl 0.000 0.000 22.737
Cl 0.000 2.145 12.352
Cl 0.000 2.145 29.189
Cl 1.857 1.072 1.966
Cl 1.857 1.072 18.804
```


[2]
DFT (PBE-GGA) results for RbHfGa2 after structural relaxation.

ΔH_f (0 K) = 533 meV/atom

The structure in extended XYZ format:
```
16
Lattice="7.337 0.000 0.000 0.000 7.337 0.000 0.000 0.000 7.337" Properties=species:S:1:pos:R:3 pbc="T T T"
Rb 0.000 0.000 0.000
Rb 0.000 3.668 3.668
Rb 3.668 0.000 3.668
Rb 3.668 3.668 0.000
Hf 0.000 0.000 3.668
Hf 0.000 3.668 0.000
Hf 3.668 0.000 0.000
Hf 3.668 3.668 3.668
Ga 1.834 1.834 1.834
Ga 1.834 1.834 5.503
Ga 1.834 5.503 1.834
Ga 1.834 5.503 5.503
Ga 5.503 1.834 1.834
Ga 5.503 1.834 5.503
Ga 5.503 5.503 1.834
Ga 5.503 5.503 5.503
```


[3]
DFT (PBE-GGA) results for GaFe3H after structural relaxation.

The structure in extended XYZ format:
```
10
Lattice="2.767 0.000 0.000 -1.383 2.396 0.000 0.000 0.000 16.082" Properties=species:S:1:pos:R:3 pbc="T T T"
Ga 0.000 0.000 0.000
Ga 0.000 0.000 8.041
Fe 0.000 0.000 4.021
Fe 0.000 0.000 12.062
Fe 0.000 1.598 2.044
Fe 0.000 1.598 5.997
Fe 1.383 0.799 10.085
Fe 1.383 0.799 14.039
H 0.000 1.598 4.021
H 1.383 0.799 12.062
```


[4]
DFT (PBE-GGA) results for CaYHoAl after structural relaxation.

ΔH_f (0 K) = -56 meV/atom

The structure in extended XYZ format:
```
16
Lattice="7.613 0.000 0.000 0.000 7.613 0.000 0.000 0.000 7.613" Properties=species:S:1:pos:R:3 pbc="T T T"
Ca 0.000 0.000 0.000
Ca 0.000 3.807 3.807
Ca 3.807 0.000 3.807
Ca 3.807 3.807 0.000
Y 1.903 1.903 5.710
Y 1.903 5.710 1.903
Y 5.710 1.903 1.903
Y 5.710 5.710 5.710
Ho 1.903 1.903 1.903
Ho 1.903 5.710 5.710
Ho 5.710 1.903 5.710
Ho 5.710 5.710 1.903
Al 0.000 0.000 3.807
Al 0.000 3.807 0.000
Al 3.807 0.000 0.000
Al 3.807 3.807 3.807
```


[5]
DFT (PBE-GGA) results for Pm2Ga3Pt9 after structural relaxation.

ΔH_f (0 K) = -849 meV/atom

The structure in extended XYZ format:
```
28
Lattice="6.769 -3.903 0.000 6.769 3.903 0.000 -4.493 0.000 9.255" Properties=species:S:1:pos:R:3 pbc="T T T"
Pm 1.181 0.658 2.311
Pm -1.065 -0.658 6.939
Pm 10.110 0.658 2.316
Pm 7.864 -0.658 6.943
Ga 3.385 1.951 0.000
Ga 3.308 2.115 4.633
Ga 3.490 2.115 9.249
Ga 1.138 -1.951 4.627
Ga 5.555 -2.115 0.005
Ga 5.737 -2.115 4.622
Pt 5.637 3.208 0.726
Pt 5.655 3.208 3.901
Pt 1.194 0.631 5.318
Pt 4.209 1.453 2.344
Pt 1.179 0.655 8.608
Pt 3.441 -0.631 0.691
Pt 3.399 1.038 6.941
Pt 7.083 1.453 2.283
Pt 3.426 -0.655 3.981
Pt 5.619 0.655 5.273
Pt 1.962 -1.453 6.971
Pt 5.646 -1.038 2.314
Pt 5.604 0.631 8.564
Pt 7.866 -0.655 0.646
Pt 4.836 -1.453 6.911
Pt 7.851 -0.631 3.936
Pt 3.390 -3.208 5.354
Pt 3.408 -3.208 8.528
```


[6]
DFT (PBE-GGA) results for EuTlRh after structural relaxation.

ΔH_f (0 K) = -250 meV/atom

The structure in extended XYZ format:
```
6
Lattice="3.492 0.000 0.000 0.000 3.492 0.000 0.000 0.000 11.451" Properties=species:S:1:pos:R:3 pbc="T T T"
Eu 0.000 0.000 0.000
Eu 1.746 1.746 5.726
Tl 0.000 0.000 3.323
Tl 1.746 1.746 9.049
Rh 0.000 0.000 7.547
Rh 1.746 1.746 1.822
```


[7]
DFT (PBE-GGA) results for CaTb2Pr3Y6 after structural relaxation.

ΔH_f (0 K) = 50 meV/atom

The structure in extended XYZ format:
```
12
Lattice="3.148 -5.454 0.000 3.148 5.454 0.000 -2.095 0.000 11.788" Properties=species:S:1:pos:R:3 pbc="T T T"
Ca 0.000 0.000 0.000
Tb 3.148 1.816 0.000
Tb 3.148 -1.816 0.000
Pr 2.101 3.649 5.894
Pr 2.101 0.000 5.894
Pr 2.101 -3.649 5.894
Y 1.071 1.848 2.941
Y 0.033 0.000 8.846
Y 1.071 -1.848 2.941
Y 3.131 1.848 8.847
Y 4.168 0.000 2.942
Y 3.131 -1.848 8.847
```


[8]
DFT (PBE-GGA) results for CeDy3Bi4 after structural relaxation.

ΔH_f (0 K) = -841 meV/atom

The structure in extended XYZ format:
```
16
Lattice="9.014 0.000 0.000 0.000 12.746 0.000 0.000 0.000 4.513" Properties=species:S:1:pos:R:3 pbc="T T T"
Ce 0.000 0.000 0.000
Ce 4.507 6.373 0.000
Dy 0.000 6.373 0.000
Dy 2.254 3.186 2.256
Dy 2.254 9.559 2.256
Dy 4.507 0.000 0.000
Dy 6.761 3.186 2.256
Dy 6.761 9.559 2.256
Bi 0.000 3.211 0.000
Bi 0.000 9.535 0.000
Bi 2.214 6.373 2.256
Bi 2.293 0.000 2.256
Bi 4.507 3.162 0.000
Bi 4.507 9.584 0.000
Bi 6.721 0.000 2.256
Bi 6.800 6.373 2.256
```


[9]
DFT (PBE-GGA) results for Cs3K3HgCl8 after structural relaxation.

Uncorrected formation energy = -1.685 eV/atom

The structure in extended XYZ format:
```
15
Lattice="4.590 2.650 7.945 -4.590 2.650 7.945 0.000 -5.300 7.945" Properties=species:S:1:pos:R:3 pbc="T T T"
Cs -2.295 -1.325 7.945
Cs -2.295 1.325 15.890
Cs 0.000 2.650 7.945
K -4.590 0.000 11.918
K -2.295 1.325 3.973
K 2.295 1.325 3.973
Hg 0.000 0.000 11.918
Cl 0.000 0.000 5.733
Cl -1.998 -1.154 13.464
Cl 0.000 -2.307 10.372
Cl -1.998 1.154 10.372
Cl 1.998 -1.154 13.464
Cl 0.000 2.307 13.464
Cl 1.998 1.154 10.372
Cl 0.000 0.000 18.102
```


[10]
DFT (PBE-GGA) results for Pm6PdO12 after structural relaxation.

Uncorrected formation energy = -2.713 eV/atom

The structure in extended XYZ format:
```
19
Lattice="5.058 2.920 3.220 -5.058 2.920 3.220 0.000 -5.841 3.220" Properties=species:S:1:pos:R:3 pbc="T T T"
Pm -2.676 -2.464 4.986
Pm -3.471 1.085 4.676
Pm 0.796 -3.549 4.676
Pm -0.796 3.549 4.986
Pm 3.471 -1.085 4.986
Pm 2.676 2.464 4.676
Pd 0.000 0.000 4.831
O -1.344 -4.210 4.151
O -4.318 -0.941 5.511
O -1.735 -0.396 3.800
O -2.974 3.269 4.151
O 1.210 -1.305 3.800
O -0.525 -1.701 5.862
O 0.525 1.701 3.800
O -1.210 1.305 5.862
O 2.974 -3.269 5.511
O 1.735 0.396 5.862
O 4.318 0.941 4.151
O 1.344 4.210 5.511
```


[11]
DFT (PBE-GGA) results for HfTa2TiIr after structural relaxation.

ΔH_f (0 K) = 1334 meV/atom

The structure in extended XYZ format:
```
5
Lattice="4.583 0.000 0.000 0.000 4.583 0.000 0.000 0.000 4.767" Properties=species:S:1:pos:R:3 pbc="T T T"
Hf 0.000 0.000 0.000
Ta 0.000 2.291 2.383
Ta 2.291 0.000 2.383
Ti 0.000 0.000 2.383
Ir 2.291 2.291 0.000
```


[12]
DFT (PBE-GGA) results for Ba2Pt after structural relaxation.

ΔH_f (0 K) = -526 meV/atom

The structure in extended XYZ format:
```
6
Lattice="3.964 0.000 0.000 0.000 3.964 0.000 0.000 0.000 15.308" Properties=species:S:1:pos:R:3 pbc="T T T"
Ba 0.000 0.000 1.817
Ba 0.000 0.000 13.491
Ba 1.982 1.982 5.837
Ba 1.982 1.982 9.471
Pt 0.000 0.000 7.654
Pt 1.982 1.982 0.000
```


[13]
DFT (PBE-GGA) results for Dy3TmS6 after structural relaxation.

Uncorrected formation energy = -2.069 eV/atom

The structure in extended XYZ format:
```
20
Lattice="5.715 3.299 4.527 -5.715 3.299 4.527 0.000 -6.599 4.527" Properties=species:S:1:pos:R:3 pbc="T T T"
Dy -2.908 -2.806 6.303
Dy -3.884 1.116 7.278
Dy 0.976 -3.921 7.278
Dy -0.976 3.921 6.303
Dy 3.884 -1.116 6.303
Dy 2.908 2.806 7.278
Tm 0.000 0.000 0.000
Tm 0.000 0.000 6.791
S -4.970 -1.392 7.366
S -1.279 -5.000 6.215
S -2.302 -0.205 5.408
S -3.690 3.608 6.215
S -0.973 -2.097 8.174
S 1.329 -1.891 5.408
S -1.329 1.891 8.174
S 0.973 2.097 5.408
S 3.690 -3.608 7.366
S 2.302 0.205 8.174
S 1.279 5.000 7.366
S 4.970 1.392 6.215
```


[14]
DFT (PBE-GGA) results for LuCrCu4 after structural relaxation.

ΔH_f (0 K) = -42 meV/atom

The structure in extended XYZ format:
```
6
Lattice="0.000 3.540 3.540 3.540 0.000 3.540 3.540 3.540 0.000" Properties=species:S:1:pos:R:3 pbc="T T T"
Lu 0.000 0.000 0.000
Cr 5.310 5.310 5.310
Cu 2.661 2.661 2.661
Cu 4.419 4.419 2.661
Cu 4.419 2.661 4.419
Cu 2.661 4.419 4.419
```


[15]
DFT (PBE-GGA) results for NbAsC3 after structural relaxation.

ΔH_f (0 K) = 2240 meV/atom

The structure in extended XYZ format:
```
5
Lattice="3.853 0.000 0.000 0.000 3.853 0.000 0.000 0.000 3.853" Properties=species:S:1:pos:R:3 pbc="T T T"
Nb 0.000 0.000 0.000
As 1.927 1.927 1.927
C 0.000 1.927 1.927
C 1.927 0.000 1.927
C 1.927 1.927 0.000
```


[16]
DFT (PBE-GGA) results for Li2SnBiSe4 after structural relaxation.

Uncorrected formation energy = -0.702 eV/atom

The structure in extended XYZ format:
```
8
Lattice="7.008 0.000 0.000 0.000 4.061 0.000 -2.401 0.000 6.647" Properties=species:S:1:pos:R:3 pbc="T T T"
Li 0.000 0.000 0.000
Li -1.200 2.030 3.323
Sn 2.304 0.000 3.323
Bi 3.504 2.030 0.000
Se -0.128 0.000 4.909
Se 1.063 2.030 1.658
Se 3.544 2.030 4.988
Se 4.735 0.000 1.737
```


[17]
DFT (PBE-GGA) results for PrMgZn2 after structural relaxation.

ΔH_f (0 K) = -333 meV/atom

The structure in extended XYZ format:
```
16
Lattice="7.010 0.000 0.000 0.000 7.010 0.000 0.000 0.000 7.010" Properties=species:S:1:pos:R:3 pbc="T T T"
Pr 0.000 0.000 0.000
Pr 0.000 3.505 3.505
Pr 3.505 0.000 3.505
Pr 3.505 3.505 0.000
Mg 0.000 0.000 3.505
Mg 0.000 3.505 0.000
Mg 3.505 0.000 0.000
Mg 3.505 3.505 3.505
Zn 1.752 1.752 1.752
Zn 1.752 1.752 5.257
Zn 1.752 5.257 1.752
Zn 1.752 5.257 5.257
Zn 5.257 1.752 1.752
Zn 5.257 1.752 5.257
Zn 5.257 5.257 1.752
Zn 5.257 5.257 5.257
```


[18]
DFT (PBE-GGA) results for Li8Zn6Cu after structural relaxation.

ΔH_f (0 K) = -122 meV/atom

The structure in extended XYZ format:
```
15
Lattice="3.892 2.247 4.636 -3.892 2.247 4.636 0.000 -4.494 4.636" Properties=species:S:1:pos:R:3 pbc="T T T"
Li 0.000 0.000 1.557
Li -0.094 -1.629 4.611
Li -1.364 0.896 4.611
Li -1.458 -0.733 9.297
Li 1.458 0.733 4.611
Li 1.364 -0.896 9.297
Li 0.094 1.629 9.297
Li 0.000 0.000 12.351
Zn -1.314 -2.219 6.944
Zn -2.579 0.028 6.964
Zn 1.265 -2.248 6.964
Zn -1.265 2.248 6.944
Zn 2.579 -0.028 6.944
Zn 1.314 2.219 6.964
Cu 0.000 0.000 6.954
```


[19]
DFT (PBE-GGA) results for V4IrRu after structural relaxation.

ΔH_f (0 K) = 217 meV/atom

The structure in extended XYZ format:
```
12
Lattice="6.903 0.000 0.000 0.000 3.975 0.000 -2.276 0.000 7.151" Properties=species:S:1:pos:R:3 pbc="T T T"
V 0.016 0.000 2.550
V -1.123 1.987 6.162
V 2.299 0.000 0.988
V 1.159 1.987 4.601
V 3.468 1.987 2.550
V 2.329 0.000 6.162
V 5.751 1.987 0.988
V 4.611 0.000 4.601
Ir -1.138 1.987 3.575
Ir 2.314 0.000 3.575
Ru 0.000 0.000 0.000
Ru 3.452 1.987 0.000
```


[20]
DFT (PBE-GGA) results for LiCr2I after structural relaxation.

Uncorrected formation energy = 0.920 eV/atom

The structure in extended XYZ format:
```
16
Lattice="6.253 0.000 0.000 0.000 6.253 0.000 0.000 0.000 6.253" Properties=species:S:1:pos:R:3 pbc="T T T"
Li 0.000 0.000 0.000
Li 0.000 3.126 3.126
Li 3.126 0.000 3.126
Li 3.126 3.126 0.000
Cr 1.563 1.563 1.563
Cr 1.563 1.563 4.690
Cr 1.563 4.690 1.563
Cr 1.563 4.690 4.690
Cr 4.690 1.563 1.563
Cr 4.690 1.563 4.690
Cr 4.690 4.690 1.563
Cr 4.690 4.690 4.690
I 0.000 0.000 3.126
I 0.000 3.126 0.000
I 3.126 0.000 0.000
I 3.126 3.126 3.126
```


[21]
DFT (PBE-GGA) results for PmBe3Ge3 after structural relaxation.

ΔH_f (0 K) = 89 meV/atom

The structure in extended XYZ format:
```
14
Lattice="6.279 0.000 0.000 0.000 6.279 0.000 0.000 0.000 6.279" Properties=species:S:1:pos:R:3 pbc="T T T"
Pm 0.000 0.000 0.000
Pm 3.140 3.140 3.140
Be 0.000 1.570 3.140
Be 0.000 4.709 3.140
Be 1.570 3.140 0.000
Be 3.140 0.000 1.570
Be 3.140 0.000 4.709
Be 4.709 3.140 0.000
Ge 0.000 3.140 1.570
Ge 0.000 3.140 4.709
Ge 1.570 0.000 3.140
Ge 3.140 1.570 0.000
Ge 3.140 4.709 0.000
Ge 4.709 0.000 3.140
```


[22]
DFT (PBE-GGA) results for LiCeSiPt after structural relaxation.

Uncorrected formation energy = -0.568 eV/atom

The structure in extended XYZ format:
```
16
Lattice="6.558 0.000 0.000 0.000 6.558 0.000 0.000 0.000 6.558" Properties=species:S:1:pos:R:3 pbc="T T T"
Li 0.000 0.000 0.000
Li 0.000 3.279 3.279
Li 3.279 0.000 3.279
Li 3.279 3.279 0.000
Ce 1.640 1.640 4.919
Ce 1.640 4.919 1.640
Ce 4.919 1.640 1.640
Ce 4.919 4.919 4.919
Si 0.000 0.000 3.279
Si 0.000 3.279 0.000
Si 3.279 0.000 0.000
Si 3.279 3.279 3.279
Pt 1.640 1.640 1.640
Pt 1.640 4.919 4.919
Pt 4.919 1.640 4.919
Pt 4.919 4.919 1.640
```


Number 1: N(E_F) 0.496 states/eV per atom, raw total energy -3.853 eV/atom. Number 2: N(E_F) 1.468 states/eV per atom, raw total energy -3.710 eV/atom. Number 3: N(E_F) 0.873 states/eV per atom, raw total energy -6.209 eV/atom. Number 4: N(E_F) 0.721 states/eV per atom, raw total energy -4.253 eV/atom. Number 5: N(E_F) 0.398 states/eV per atom, raw total energy -6.060 eV/atom. Number 6: N(E_F) 3.072 states/eV per atom, raw total energy -6.914 eV/atom. Number 7: N(E_F) 1.620 states/eV per atom, raw total energy -5.316 eV/atom. Number 8: N(E_F) 0.871 states/eV per atom, raw total energy -5.249 eV/atom. Number 9: N(E_F) 0.000 states/eV per atom, raw total energy -3.080 eV/atom. Number 10: N(E_F) 0.847 states/eV per atom, raw total energy -7.618 eV/atom. Number 11: N(E_F) 1.558 states/eV per atom, raw total energy -8.749 eV/atom. Number 12: N(E_F) 0.841 states/eV per atom, raw total energy -3.821 eV/atom. Number 13: N(E_F) 0.000 states/eV per atom, raw total energy -6.374 eV/atom. Number 14: N(E_F) 1.170 states/eV per atom, raw total energy -5.130 eV/atom. Number 15: N(E_F) 0.824 states/eV per atom, raw total energy -6.238 eV/atom. Number 16: N(E_F) 0.276 states/eV per atom, raw total energy -3.908 eV/atom. Number 17: N(E_F) 0.332 states/eV per atom, raw total energy -2.563 eV/atom. Number 18: N(E_F) 0.347 states/eV per atom, raw total energy -1.926 eV/atom. Number 19: N(E_F) 1.110 states/eV per atom, raw total energy -8.885 eV/atom. Number 20: N(E_F) 0.830 states/eV per atom, raw total energy -4.758 eV/atom. Number 21: N(E_F) 0.289 states/eV per atom, raw total energy -4.165 eV/atom. Number 22: N(E_F) 1.012 states/eV per atom, raw total energy -5.396 eV/atom.